Entry 1:
Compound: RePd2Rh
Source: the Alexandria database
Functional: PBE
Structure: optimized geometry

Structure (POSCAR):
```
RePd2Rh
1.0
1.3791 0.7962 9.0424
-1.3791 0.7962 9.0424
0.0000 -1.5925 9.0424
Re Pd Rh
1 2 1
Direct
0.0000 0.0000 0.0000
0.5027 0.5027 0.5027
0.7498 0.7498 0.7498
0.2552 0.2552 0.2552
```

Values from the calculation:
Magnetic moment ... 0.00 μB/f.u.
Energy of formation ... -0.039 eV/atom

Entry 2:
Compound: Ba3GaSn2O9
Source: the Alexandria database
Functional: PBE
Structure: optimized geometry

Structure (POSCAR):
```
Ba3GaSn2O9
1.0
5.8653 0.0000 0.0000
-2.9327 5.0795 0.0000
0.0000 0.0000 7.1995
Ba Ga Sn O
3 1 2 9
Direct
0.0000 0.0000 0.0000
0.3333 0.6667 0.6621
0.6667 0.3333 0.3379
0.0000 0.0000 0.5000
0.3333 0.6667 0.1713
0.6667 0.3333 0.8287
0.0000 0.5000 0.0000
0.1639 0.3278 0.3366
0.1639 0.8361 0.3366
0.3278 0.1639 0.6634
0.5000 0.0000 0.0000
0.5000 0.5000 0.0000
0.6722 0.8361 0.3366
0.8361 0.1639 0.6634
0.8361 0.6722 0.6634
```

Values from the calculation:
Magnetic moment ... 0.56 μB/f.u.
Formation energy (no corrections) ... -2.074 eV/atom

Entry 3:
Compound: ReSeCl2
Source: the Alexandria database
Functional: PBE
Structure: optimized geometry

Structure (POSCAR):
```
ReSeCl2
1.0
-1.5083 2.2697 7.0037
1.5083 -2.2697 7.0037
1.5083 2.2697 -7.0037
Re Se Cl
1 1 2
Direct
0.0000 0.0000 0.0000
0.5000 0.5000 0.0000
0.1400 0.6400 0.5000
0.8600 0.3600 0.5000
```

Values from the calculation:
Magnetic moment ... 0.47 μB/f.u.
Formation energy (no corrections) ... 0.118 eV/atom

Entry 4:
Compound: NaSr2Ag
Source: the Alexandria database
Functional: PBE
Structure: optimized geometry

Structure (POSCAR):
```
NaSr2Ag
1.0
2.1824 1.2600 11.5669
-2.1824 1.2600 11.5669
0.0000 -2.5200 11.5669
Na Sr Ag
1 2 1
Direct
0.0000 0.0000 0.0000
0.1113 0.1113 0.1113
0.8887 0.8887 0.8887
0.5000 0.5000 0.5000
```

Values from the calculation:
Magnetic moment ... 0.00 μB/f.u.
Energy of formation ... 0.008 eV/atom

Entry 5:
Compound: Be3ICl
Source: the Alexandria database
Functional: PBE
Structure: optimized geometry

Structure (POSCAR):
```
Be3ICl
1.0
5.0776 0.0000 0.0000
0.0000 5.0776 0.0000
0.0000 0.0000 5.0776
Be I Cl
3 1 1
Direct
0.0000 0.0000 0.5000
0.0000 0.5000 0.0000
0.5000 0.0000 0.0000
0.0000 0.0000 0.0000
0.5000 0.5000 0.5000
```

Values from the calculation:
Magnetic moment ... 0.00 μB/f.u.
Formation energy (no corrections) ... 1.513 eV/atom

Entry 6:
Compound: TbPmGa4
Source: the Alexandria database
Functional: PBE
Structure: optimized geometry

Structure (POSCAR):
```
TbPmGa4
1.0
2.9864 -2.9150 0.0000
2.9864 2.9150 0.0000
-2.8176 0.0000 8.0100
Tb Pm Ga
1 1 4
Direct
0.0000 0.0000 0.0000
0.5000 0.5000 0.5000
0.0379 0.0379 0.6591
0.4661 0.4661 0.8440
0.5339 0.5339 0.1560
0.9621 0.9621 0.3409
```

Values from the calculation:
Magnetic moment ... 0.00 μB/f.u.
Energy of formation ... -0.386 eV/atom

Entry 7:
Compound: PaGaTcMo
Source: the Alexandria database
Functional: PBE
Structure: optimized geometry

Structure (POSCAR):
```
PaGaTcMo
1.0
0.0000 3.3022 3.3022
3.3022 0.0000 3.3022
3.3022 3.3022 0.0000
Pa Ga Tc Mo
1 1 1 1
Direct
0.0000 0.0000 0.0000
0.7500 0.7500 0.7500
0.5000 0.5000 0.5000
0.2500 0.2500 0.2500
```

Values from the calculation:
Magnetic moment ... 0.00 μB/f.u.
Energy of formation ... 0.176 eV/atom

Entry 8:
Compound: NdDy2Rh3
Source: the Alexandria database
Functional: PBE
Structure: optimized geometry

Structure (POSCAR):
```
NdDy2Rh3
1.0
3.4558 0.0000 0.0000
0.0000 3.4558 0.0000
0.0000 0.0000 10.4484
Nd Dy Rh
1 2 3
Direct
0.0000 0.0000 0.0000
0.0000 0.0000 0.3366
0.0000 0.0000 0.6634
0.5000 0.5000 0.1775
0.5000 0.5000 0.5000
0.5000 0.5000 0.8225
```

Values from the calculation:
Magnetic moment ... 0.00 μB/f.u.
Energy of formation ... -0.788 eV/atom

Entry 9:
Compound: Pm2Mg3Pb
Source: the Alexandria database
Functional: PBE
Structure: optimized geometry

Structure (POSCAR):
```
Pm2Mg3Pb
1.0
3.5967 0.0000 0.0000
0.0000 5.1815 0.0000
0.0000 0.0000 8.8934
Pm Mg Pb
2 3 1
Direct
0.0000 0.0000 0.0000
0.0000 0.5000 0.4879
0.5000 0.0000 0.6693
0.5000 0.5000 0.1530
0.5000 0.5000 0.8227
0.5000 0.0000 0.3324
```

Values from the calculation:
Magnetic moment ... 0.00 μB/f.u.
Energy of formation ... -0.219 eV/atom

Entry 10:
Compound: YSc3Ru4
Source: the Alexandria database
Functional: PBE
Structure: optimized geometry

Structure (POSCAR):
```
YSc3Ru4
1.0
4.6067 0.0000 0.0000
0.0000 4.6067 0.0000
0.0000 0.0000 6.5467
Y Sc Ru
1 3 4
Direct
0.0000 0.0000 0.0000
0.0000 0.0000 0.5000
0.5000 0.5000 0.0000
0.5000 0.5000 0.5000
0.0000 0.5000 0.2589
0.0000 0.5000 0.7411
0.5000 0.0000 0.2589
0.5000 0.0000 0.7411
```

Values from the calculation:
Magnetic moment ... 0.00 μB/f.u.
Energy of formation ... -0.446 eV/atom

Entry 11:
Compound: CeZnBi
Source: the Alexandria database
Functional: PBE
Structure: optimized geometry

Structure (POSCAR):
```
CeZnBi
1.0
2.4630 1.4220 7.8885
-2.4630 1.4220 7.8885
0.0000 -2.8441 7.8885
Ce Zn Bi
2 2 2
Direct
0.0601 0.0601 0.0601
0.9399 0.9399 0.9399
0.3341 0.3341 0.3341
0.6659 0.6659 0.6659
0.2057 0.2057 0.2057
0.7943 0.7943 0.7943
```

Values from the calculation:
Magnetic moment ... 0.63 μB/f.u.
Energy of formation ... -0.236 eV/atom

Entry 12:
Compound: YMoAu2
Source: the Alexandria database
Functional: PBE
Structure: optimized geometry

Structure (POSCAR):
```
YMoAu2
1.0
0.0000 3.4138 3.4138
3.4138 0.0000 3.4138
3.4138 3.4138 0.0000
Y Mo Au
1 1 2
Direct
0.0000 0.0000 0.0000
0.2500 0.2500 0.2500
0.5000 0.5000 0.5000
0.7500 0.7500 0.7500
```

Values from the calculation:
Magnetic moment ... 3.04 μB/f.u.
Energy of formation ... 0.087 eV/atom

Entry 13:
Compound: Dy5Y3Er3
Source: the Alexandria database
Functional: PBE
Structure: optimized geometry

Structure (POSCAR):
```
Dy5Y3Er3
1.0
11.0730 0.0000 0.0000
-5.5365 9.5895 0.0000
0.0000 0.0000 3.4294
Dy Y Er
5 3 3
Direct
0.0000 0.1593 0.0000
0.1593 0.0000 0.0000
0.3333 0.6667 0.0000
0.6667 0.3333 0.0000
0.8407 0.8407 0.0000
0.0000 0.6585 0.0000
0.3415 0.3415 0.0000
0.6585 0.0000 0.0000
0.0000 0.4045 0.5000
0.4045 0.0000 0.5000
0.5955 0.5955 0.5000
```

Values from the calculation:
Magnetic moment ... 0.00 μB/f.u.
Energy of formation ... 0.357 eV/atom

Entry 14:
Compound: Be6Pd5Au
Source: the Alexandria database
Functional: PBE
Structure: optimized geometry

Structure (POSCAR):
```
Be6Pd5Au
1.0
-2.0195 2.8593 6.0490
2.0195 -2.8593 6.0490
2.0195 2.8593 -6.0490
Be Pd Au
6 5 1
Direct
0.0719 0.3301 0.7418
0.2344 0.0000 0.2344
0.4118 0.6699 0.7418
0.5882 0.3301 0.2582
0.7656 0.0000 0.7656
0.9281 0.6699 0.2582
0.0000 0.5000 0.5000
0.1681 0.1681 0.0000
0.3353 0.8353 0.5000
0.6647 0.1647 0.5000
0.8319 0.8319 0.0000
0.5000 0.5000 0.0000
```

Values from the calculation:
Magnetic moment ... 0.00 μB/f.u.
Energy of formation ... -0.502 eV/atom